No. 1
DFT (GGA-PBE) results for RuCl2O after structural relaxation.

Cell: 4.231 4.231 4.231 Å, 60.00 60.00 60.00°
Fractional positions:
1 Ru 0.000 0.000 0.000
2 Cl 0.250 0.250 0.250
3 Cl 0.750 0.750 0.750
4 O 0.500 0.500 0.500

Output
energy above the most stable polymorph in this dataset = 1.598 eV per atom
space group = No. 225
density of states at the Fermi level = 2.275 states/eV per atom
volume = 13.393 Å³ per atom
crystal system = cubic
E_form (uncorrected) = 876 meV per atom

***

No. 2
DFT (GGA-PBE) results for RuClO after structural relaxation.

Cell: 3.293 5.409 5.951 Å, 80.71 85.36 83.70°
Fractional positions:
1 Ru 0.000 0.000 0.000
2 Ru 0.425 0.541 0.983
3 Cl 0.493 0.223 0.733
4 Cl 0.496 0.822 0.257
5 O 0.933 0.717 0.825
6 O 0.941 0.334 0.115

Output
energy above the most stable polymorph in this dataset = 0.067 eV per atom
space group = No. 1
density of states at the Fermi level = 0.322 states/eV per atom
volume = 17.293 Å³ per atom
crystal system = triclinic
E_form (uncorrected) = -459 meV per atom

***

No. 3
DFT (GGA-PBE) results for Ru2ClO after structural relaxation.

Cell: 4.096 4.096 4.096 Å, 60.00 60.00 60.00°
Fractional positions:
1 Ru 0.250 0.250 0.250
2 Ru 0.750 0.750 0.750
3 Cl 0.000 0.000 0.000
4 O 0.500 0.500 0.500

Output
energy above the most stable polymorph in this dataset = 0.533 eV per atom
space group = No. 225
density of states at the Fermi level = 1.205 states/eV per atom
volume = 12.151 Å³ per atom
crystal system = cubic
E_form (uncorrected) = 766 meV per atom

***

No. 4
DFT (GGA-PBE) results for RuClO after structural relaxation.

Cell: 4.521 4.523 6.587 Å, 87.88 85.03 81.55°
Fractional positions:
1 Ru 0.000 0.000 0.000
2 Ru 0.331 0.331 0.000
3 Cl 0.199 0.676 0.725
4 Cl 0.632 0.155 0.275
5 O 0.146 0.660 0.161
6 O 0.685 0.171 0.838

Output
energy above the most stable polymorph in this dataset = 0.000 eV per atom
space group = No. 1
density of states at the Fermi level = 0.169 states/eV per atom
volume = 22.114 Å³ per atom
crystal system = triclinic
E_form (uncorrected) = -526 meV per atom

***

No. 5
DFT (GGA-PBE) results for RuCl2O after structural relaxation.

Cell: 6.900 6.900 6.900 Å, 149.91 148.92 43.81°
Fractional positions:
1 Ru 0.000 0.000 0.000
2 Cl 0.126 0.626 0.500
3 Cl 0.874 0.374 0.500
4 O 0.500 0.000 0.500

Output
energy above the most stable polymorph in this dataset = 0.000 eV per atom
space group = No. 71
density of states at the Fermi level = 0.282 states/eV per atom
volume = 21.202 Å³ per atom
crystal system = orthorhombic
E_form (uncorrected) = -722 meV per atom

***

No. 6
DFT (GGA-PBE) results for RuClO after structural relaxation.

Cell: 3.214 3.214 5.800 Å, 90.95 90.95 60.04°
Fractional positions:
1 Ru 0.000 0.000 0.000
2 Cl 0.672 0.672 0.283
3 O 0.331 0.331 0.856

Output
energy above the most stable polymorph in this dataset = 0.147 eV per atom
space group = No. 8
density of states at the Fermi level = 0.888 states/eV per atom
volume = 17.298 Å³ per atom
crystal system = monoclinic
E_form (uncorrected) = -379 meV per atom

***

No. 7
DFT (GGA-PBE) results for RuCl2O after structural relaxation.

Cell: 5.697 5.697 5.697 Å, 115.17 115.17 98.60°
Fractional positions:
1 Ru 0.000 0.000 0.000
2 Ru 0.750 0.250 0.500
3 Cl 0.104 0.625 0.979
4 Cl 0.375 0.354 0.479
5 Cl 0.646 0.125 0.021
6 Cl 0.875 0.896 0.521
7 O 0.250 0.750 0.500
8 O 0.500 0.500 0.000

Output
energy above the most stable polymorph in this dataset = 1.438 eV per atom
space group = No. 122
density of states at the Fermi level = 0.410 states/eV per atom
volume = 17.325 Å³ per atom
crystal system = tetragonal
E_form (uncorrected) = 715 meV per atom

***

No. 8
DFT (GGA-PBE) results for RuCl2O after structural relaxation.

Cell: 7.727 7.727 7.727 Å, 23.52 23.52 23.52°
Fractional positions:
1 Ru 0.000 0.000 0.000
2 Cl 0.096 0.096 0.096
3 Cl 0.904 0.904 0.904
4 O 0.500 0.500 0.500

Output
energy above the most stable polymorph in this dataset = 1.625 eV per atom
space group = No. 166
density of states at the Fermi level = 1.130 states/eV per atom
volume = 16.134 Å³ per atom
crystal system = trigonal
E_form (uncorrected) = 902 meV per atom